Computed, not measured: a geometry-optimized ScInCuIr structure at the GGA-PBE level of DFT.

```
ScInCuIr
1.0
0.000 3.238 3.238
3.238 0.000 3.238
3.238 3.238 0.000
Sc In Cu Ir
1 1 1 1
direct
0.000 0.000 0.000
0.250 0.250 0.250
0.500 0.500 0.500
0.750 0.750 0.750
```

volume	68	Å³/cell
space group	No. 216
final energy	-0.2075	Ha/atom